Entry 1:
# Be3Ni | Alexandria | GGA-PBE | relaxed
# Total magnetization = 0.00 Bohr magnetons per cell
# Formation enthalpy at 0 K = -0.29 eV/atom
# DOS(E_F) = 0.332 states/eV per atom
data_Be3Ni
_cell_length_a 4.9125
_cell_length_b 7.5379
_cell_length_c 3.6420
_cell_angle_alpha 90.00
_cell_angle_beta 90.00
_cell_angle_gamma 90.00
_space_group_name_H-M_alt 'C m c m'
_space_group_IT_number 63
_space_group_name_Hall '-C 2c 2'
loop_
_atom_site_label
_atom_site_fract_x
_atom_site_fract_y
_atom_site_fract_z
_atom_site_occupancy
Be1 0.0000 0.1653 0.2500 1
Be2 0.2299 0.0975 0.7500 1
Ni1 0.0000 0.3602 0.7500 1

=====

Entry 2:
# Be8Ni | Alexandria | GGA-PBE | relaxed
# Total magnetization = 0.00 Bohr magnetons per cell
# Formation enthalpy at 0 K = -0.11 eV/atom
# DOS(E_F) = 0.176 states/eV per atom
data_Be8Ni
_cell_length_a 6.8746
_cell_length_b 6.8746
_cell_length_c 3.1190
_cell_angle_alpha 90.00
_cell_angle_beta 90.00
_cell_angle_gamma 90.00
_space_group_name_H-M_alt 'I 4/m m m'
_space_group_IT_number 139
_space_group_name_Hall '-I 4 2'
loop_
_atom_site_label
_atom_site_fract_x
_atom_site_fract_y
_atom_site_fract_z
_atom_site_occupancy
Be1 0.0000 0.3361 0.0000 1
Be2 0.1687 0.1687 0.5000 1
Ni1 0.0000 0.0000 0.0000 1

=====

Entry 3:
# Be3Ni | Alexandria | GGA-PBE | relaxed
# Total magnetization = 0.00 Bohr magnetons per cell
# Formation enthalpy at 0 K = -0.23 eV/atom
# DOS(E_F) = 0.317 states/eV per atom
data_Be3Ni
_cell_length_a 2.6021
_cell_length_b 2.6021
_cell_length_c 5.0248
_cell_angle_alpha 90.00
_cell_angle_beta 90.00
_cell_angle_gamma 90.00
_space_group_name_H-M_alt 'P 4/m m m'
_space_group_IT_number 123
_space_group_name_Hall '-P 4 2'
loop_
_atom_site_label
_atom_site_fract_x
_atom_site_fract_y
_atom_site_fract_z
_atom_site_occupancy
Be1 0.0000 0.0000 0.0000 1
Be2 0.5000 0.5000 0.2471 1
Ni1 0.0000 0.0000 0.5000 1